# SmErAlPb (PBE-GGA, optimized geometry)
data_SmErAlPb
_space_group_name_H-M_alt 'P 1'
_space_group_IT_number 1
_cell_length_a 5.3250
_cell_length_b 5.3250
_cell_length_c 5.3250
_cell_angle_alpha 60.00
_cell_angle_beta 60.00
_cell_angle_gamma 60.00
loop_
_space_group_symop_operation_xyz
'x,y,z'
loop_
_atom_site_label
_atom_site_fract_x
_atom_site_fract_y
_atom_site_fract_z
Pb1 0.2500 0.2500 0.2500
Al1 0.7500 0.7500 0.7500
Sm1 0.5000 0.5000 0.5000
Er1 0.0000 0.0000 0.0000
# **Symmetry**: No. 216
# **Formation energy**: -0.323 eV per atom
# **Spin magnetization**: 0.00 μB per formula unit